The following is a DFT calculation (PBE-GGA) of a relaxed structure of Pm2Dy3Y6In.

Properties
Its density of states at the Fermi level is 16.683 states/eV per cell. The value obtained for the size of the total moment is 0.0 μB per formula unit. The calculation puts the formation energy from the elements at -53 meV/atom.

```
Pm2Dy3Y6In
1.0
6.124 -0.003 0.002
-3.063 5.303 0.002
-1.027 -1.779 11.560
Y Dy In Pm
6 3 1 2
Direct
0.409 0.082 0.248
0.756 0.756 0.249
0.082 0.409 0.248
0.918 0.591 0.752
0.591 0.918 0.752
0.244 0.244 0.751
0.166 0.834 0.500
0.834 0.166 0.500
0.500 0.500 0.500
0.000 0.000 0.000
0.334 0.666 0.000
0.666 0.334 0.000
```

=====

The following is a DFT calculation (PBE-GGA) of a relaxed structure of Pm3Dy2Y6In.

Properties
Its density of states at the Fermi level is 17.671 states/eV per cell. The value obtained for the size of the total moment is 0.0 μB per formula unit. The calculation puts the formation energy from the elements at -42 meV/atom.

```
Pm3Dy2Y6In
1.0
-4.056 1.825 4.266
0.117 -5.885 -1.826
8.947 -1.063 7.475
Y Dy Pm In
6 2 3 1
Direct
0.408 0.081 0.243
0.753 0.753 0.244
0.919 0.592 0.757
0.081 0.408 0.243
0.247 0.247 0.756
0.592 0.919 0.757
0.666 0.334 0.000
0.334 0.666 0.000
0.833 0.167 0.500
0.167 0.833 0.500
0.500 0.500 0.500
0.000 0.000 0.000
```

=====

The following is a DFT calculation (PBE-GGA) of a relaxed structure of PmDyYIn.

Properties
Its density of states at the Fermi level is 5.518 states/eV per cell. The value obtained for the size of the total moment is 1.2 μB per formula unit. The calculation puts the formation energy from the elements at -146 meV/atom.

```
PmDyYIn
1.0
5.500 0.000 0.000
2.750 4.763 0.000
2.750 1.588 4.491
Y Pm In Dy
1 1 1 1
Direct
0.250 0.250 0.250
0.750 0.750 0.750
0.000 0.000 0.000
0.500 0.500 0.500
```

=====

The following is a DFT calculation (PBE-GGA) of a relaxed structure of Pr5Dy2In4.

Properties
Its density of states at the Fermi level is 15.696 states/eV per cell. The value obtained for the size of the total moment is 0.0 μB per formula unit. The calculation puts the formation energy from the elements at 321 meV/atom.

```
Pr5Dy2In4
1.0
-0.624 0.243 3.401
-2.262 -8.657 0.204
15.333 0.644 1.001
In Pr Dy
4 5 2
Direct
0.000 0.673 0.000
0.300 0.300 0.600
0.000 0.327 0.000
0.700 0.700 0.400
0.802 0.002 0.603
0.500 0.000 0.000
0.802 0.601 0.603
0.198 0.399 0.397
0.198 0.998 0.397
0.096 0.096 0.192
0.904 0.904 0.808
```

=====

The following is a DFT calculation (PBE-GGA) of a relaxed structure of PrDy6In6.

Properties
Its density of states at the Fermi level is 16.481 states/eV per cell. The value obtained for the size of the total moment is 0.0 μB per formula unit. The calculation puts the formation energy from the elements at -341 meV/atom.

```
PrDy6In6
1.0
-4.631 -4.025 -1.263
5.690 -2.145 1.505
-2.785 -0.068 10.431
Dy In Pr
6 6 1
Direct
0.000 0.000 0.661
0.333 0.667 0.000
0.667 0.333 0.500
0.000 0.000 0.339
0.333 0.667 0.500
0.667 0.333 0.000
0.000 0.500 0.754
0.500 0.000 0.246
0.500 0.000 0.754
0.500 0.500 0.246
0.000 0.500 0.246
0.500 0.500 0.754
0.000 0.000 0.000
```

=====

The following is a DFT calculation (PBE-GGA) of a relaxed structure of PrDy6In3.

Properties
Its density of states at the Fermi level is 24.580 states/eV per cell. The value obtained for the size of the total moment is 0.0 μB per formula unit. The calculation puts the formation energy from the elements at -193 meV/atom.

```
PrDy6In3
1.0
-0.224 6.747 -0.663
-1.758 -0.969 -9.258
-9.011 -0.012 2.923
In Pr Dy
6 2 12
Direct
0.398 0.235 0.995
0.849 0.498 0.502
0.898 0.765 0.005
0.898 0.995 0.235
0.349 0.502 0.498
0.398 0.005 0.765
0.109 0.294 0.706
0.609 0.706 0.294
0.106 0.305 0.252
0.279 0.555 0.986
0.372 0.922 0.078
0.872 0.078 0.922
0.591 0.307 0.693
0.106 0.748 0.695
0.779 0.445 0.014
0.091 0.693 0.307
0.606 0.252 0.305
0.279 0.014 0.445
0.606 0.695 0.748
0.779 0.986 0.555
```

=====

The following is a DFT calculation (PBE-GGA) of a relaxed structure of Pr4DyIn2.

Properties
Its density of states at the Fermi level is 9.884 states/eV per cell. The value obtained for the size of the total moment is 0.0 μB per formula unit. The calculation puts the formation energy from the elements at -6 meV/atom.

```
Pr4DyIn2
1.0
-3.779 -1.340 5.291
1.835 -3.229 5.502
-0.077 8.781 -2.835
Dy Pr In
1 4 2
Direct
0.000 0.000 0.000
0.000 0.500 0.000
0.137 0.637 0.500
0.863 0.363 0.500
0.500 0.000 0.000
0.500 0.755 0.255
0.500 0.245 0.745
```

=====

The following is a DFT calculation (PBE-GGA) of a relaxed structure of PrDy6In2.

Properties
Its density of states at the Fermi level is 11.528 states/eV per cell. The value obtained for the size of the total moment is 0.0 μB per formula unit. The calculation puts the formation energy from the elements at 522 meV/atom.

```
PrDy6In2
1.0
5.687 0.000 0.000
0.000 5.687 0.000
-2.843 -2.843 10.397
In Dy Pr
2 6 1
Direct
0.808 0.808 0.615
0.192 0.192 0.385
0.875 0.261 0.135
0.261 0.875 0.135
0.250 0.750 0.500
0.125 0.125 0.865
0.750 0.250 0.500
0.739 0.739 0.865
0.500 0.500 0.000
```